(1)
The following is a DFT calculation (PBE) of a relaxed GdYCuAg crystal.

Output
Total DFT energy (no corrections), eV per cell: -28.5
Space group: F-43m, No. 216

Lattice parameters (Å, degrees): 5.074 5.074 5.074 60.00 60.00 60.00
Element x y z (fractional)
Gd (0.000, 0.000, 0.000)
Y (0.500, 0.500, 0.500)
Cu (0.750, 0.750, 0.750)
Ag (0.250, 0.250, 0.250)

(2)
The following is a DFT calculation (PBE) of a relaxed CuAgGe2 crystal.

Output
Excess energy over the best structure of this formula in the dataset, kJ/mol of atoms: 5.8
Total DFT energy (no corrections), eV per cell: -15.2
Space group: Fm-3m, No. 225

Lattice parameters (Å, degrees): 4.600 4.600 4.600 60.00 60.00 60.00
Element x y z (fractional)
Cu (0.000, 0.000, 0.000)
Ag (0.500, 0.500, 0.500)
Ge (0.250, 0.250, 0.250)
Ge (0.750, 0.750, 0.750)

(3)
The following is a DFT calculation (PBE) of a relaxed CuAgGe2 crystal.

Output
Excess energy over the best structure of this formula in the dataset, kJ/mol of atoms: 1.8
Total DFT energy (no corrections), eV per cell: -15.3
Space group: R-3m, No. 166

Lattice parameters (Å, degrees): 9.136 9.136 9.136 19.03 19.03 19.03
Element x y z (fractional)
Cu (0.000, 0.000, 0.000)
Ag (0.500, 0.500, 0.500)
Ge (0.403, 0.403, 0.403)
Ge (0.597, 0.597, 0.597)

(4)
The following is a DFT calculation (PBE) of a relaxed CuAgGe crystal.

Output
Excess energy over the best structure of this formula in the dataset, kJ/mol of atoms: 0.8
Total DFT energy (no corrections), eV per cell: -22.3
Space group: P4/nmm, No. 129

Lattice parameters (Å, degrees): 3.382 3.382 8.426 90.00 90.00 90.00
Element x y z (fractional)
Cu (0.250, 0.250, 0.073)
Cu (0.750, 0.750, 0.927)
Ag (0.250, 0.250, 0.402)
Ag (0.750, 0.750, 0.598)
Ge (0.250, 0.250, 0.779)
Ge (0.750, 0.750, 0.221)

(5)
The following is a DFT calculation (PBE) of a relaxed Cu2AgGe2 crystal.

Output
Excess energy over the best structure of this formula in the dataset, kJ/mol of atoms: 6.4
Total DFT energy (no corrections), eV per cell: -19.2
Space group: I4/mmm, No. 139

Lattice parameters (Å, degrees): 6.144 6.144 6.144 142.99 142.99 53.34
Element x y z (fractional)
Cu (0.250, 0.750, 0.500)
Cu (0.750, 0.250, 0.500)
Ag (0.000, 0.000, 0.000)
Ge (0.389, 0.389, 0.000)
Ge (0.611, 0.611, 0.000)

(6)
The following is a DFT calculation (PBE) of a relaxed CuAgGe crystal.

Output
Excess energy over the best structure of this formula in the dataset, kJ/mol of atoms: 3.2
Total DFT energy (no corrections), eV per cell: -11.1
Space group: P3m1, No. 156

Lattice parameters (Å, degrees): 2.958 2.958 6.429 90.00 90.00 120.00
Element x y z (fractional)
Cu (0.000, 0.000, 0.000)
Ag (0.333, 0.667, 0.668)
Ge (0.667, 0.333, 0.300)

(7)
The following is a DFT calculation (PBE) of a relaxed CuAgGe2 crystal.

Output
Excess energy over the best structure of this formula in the dataset, kJ/mol of atoms: 2.9
Total DFT energy (no corrections), eV per cell: -30.6
Space group: I-42d, No. 122

Lattice parameters (Å, degrees): 9.024 9.024 9.024 153.81 153.81 37.38
Element x y z (fractional)
Cu (0.000, 0.000, 0.000)
Cu (0.750, 0.250, 0.500)
Ag (0.250, 0.750, 0.500)
Ag (0.500, 0.500, 0.000)
Ge (0.097, 0.625, 0.972)
Ge (0.375, 0.347, 0.472)
Ge (0.653, 0.125, 0.028)
Ge (0.875, 0.903, 0.528)

(8)
The following is a DFT calculation (PBE) of a relaxed Cu14AgGe crystal.

Output
Total DFT energy (no corrections), eV per cell: -64.1
Space group: Amm2, No. 38

Lattice parameters (Å, degrees): 8.533 5.212 5.212 60.45 90.00 90.00
Element x y z (fractional)
Cu (0.000, 0.000, 0.000)
Cu (0.000, 0.001, 0.497)
Cu (0.000, 0.497, 0.001)
Cu (0.000, 0.499, 0.499)
Cu (0.240, 0.171, 0.666)
Cu (0.240, 0.665, 0.665)
Cu (0.240, 0.666, 0.171)
Cu (0.247, 0.165, 0.165)
Cu (0.500, 0.334, 0.832)
Cu (0.500, 0.832, 0.334)
Cu (0.753, 0.165, 0.165)
Cu (0.760, 0.171, 0.666)
Cu (0.760, 0.665, 0.665)
Cu (0.760, 0.666, 0.171)
Ag (0.500, 0.834, 0.834)
Ge (0.500, 0.334, 0.334)

(9)
The following is a DFT calculation (PBE) of a relaxed Cu2AgGe2 crystal.

Output
Excess energy over the best structure of this formula in the dataset, kJ/mol of atoms: 0.0
Total DFT energy (no corrections), eV per cell: -39.0
Space group: P4/mbm, No. 127

Lattice parameters (Å, degrees): 7.251 7.251 3.026 90.00 90.00 90.00
Element x y z (fractional)
Cu (0.124, 0.376, 0.000)
Cu (0.376, 0.876, 0.000)
Cu (0.624, 0.124, 0.000)
Cu (0.876, 0.624, 0.000)
Ag (0.000, 0.000, 0.000)
Ag (0.500, 0.500, 0.000)
Ge (0.174, 0.674, 0.500)
Ge (0.326, 0.174, 0.500)
Ge (0.674, 0.826, 0.500)
Ge (0.826, 0.326, 0.500)

(10)
The following is a DFT calculation (PBE) of a relaxed CuAg3Ge crystal.

Output
Excess energy over the best structure of this formula in the dataset, kJ/mol of atoms: 4.2
Total DFT energy (no corrections), eV per cell: -13.7
Space group: Pm-3m, No. 221

Lattice parameters (Å, degrees): 4.864 4.864 4.864 90.00 90.00 90.00
Element x y z (fractional)
Cu (0.000, 0.000, 0.000)
Ag (0.000, 0.500, 0.500)
Ag (0.500, 0.000, 0.500)
Ag (0.500, 0.500, 0.000)
Ge (0.500, 0.500, 0.500)

(11)
The following is a DFT calculation (PBE) of a relaxed Cu2AgGe2 crystal.

Output
Excess energy over the best structure of this formula in the dataset, kJ/mol of atoms: 8.5
Total DFT energy (no corrections), eV per cell: -19.0
Space group: I4/mmm, No. 139

Lattice parameters (Å, degrees): 6.542 6.542 6.542 147.06 147.06 47.27
Element x y z (fractional)
Cu (0.101, 0.101, 0.000)
Cu (0.899, 0.899, 0.000)
Ag (0.500, 0.500, 0.000)
Ge (0.250, 0.750, 0.500)
Ge (0.750, 0.250, 0.500)

(12)
The following is a DFT calculation (PBE) of a relaxed Cu4AgGe crystal.

Output
Total DFT energy (no corrections), eV per cell: -23.2
Space group: F-43m, No. 216

Lattice parameters (Å, degrees): 4.926 4.926 4.926 60.00 60.00 60.00
Element x y z (fractional)
Cu (0.125, 0.125, 0.125)
Cu (0.125, 0.125, 0.625)
Cu (0.125, 0.625, 0.125)
Cu (0.625, 0.125, 0.125)
Ag (0.500, 0.500, 0.500)
Ge (0.750, 0.750, 0.750)

Summary of calculated formation energy in eV/atom
-0.25, 0.25, 0.21, 0.13, 0.22, 0.16, 0.22, 0.04, 0.16, 0.70, 0.25, 0.10
(order as listed above)
Summary of density of states at the Fermi level in states/eV per cell
2.74, 1.08, 1.64, 2.32, 2.44, 1.19, 3.27, 7.08, 4.25, 1.66, 1.85, 1.78
(order as listed above)